Entry i
KCo2Se2 | Alexandria | PBE | optimized geometry; magnetic moment = 2.08 μB per formula unit; SG = I4/mmm, No. 139; calculated volume = 20.1 A^3/atom
1.0
-3.204 -2.187 0.323
2.174 -3.220 -0.241
0.174 -2.734 6.653
Co Se K
2 2 1
Direct
0.750 0.250 0.500
0.250 0.750 0.500
0.651 0.651 0.698
0.349 0.349 0.302
0.000 0.000 0.000



Entry ii
KCo2Se2 | Alexandria | PBE | optimized geometry; magnetic moment = 2.57 μB per formula unit; SG = P4/mmm, No. 123; calculated volume = 20.2 A^3/atom
1.0
-2.922 -1.916 -1.322
2.094 -1.235 -2.837
1.967 -5.720 3.941
K Co Se
1 2 2
Direct
0.000 0.000 0.000
0.500 0.000 0.500
0.000 0.500 0.500
0.500 0.500 0.712
0.500 0.500 0.288



Pick entry i: it beats the second-best structure by 98 meV/atom.



Entry i
KCoSi | Alexandria | PBE | optimized geometry; magnetic moment = 0.00 μB per formula unit; SG = I4mm, No. 107; calculated volume = 20.4 A^3/atom
1.0
-1.817 4.178 4.544
-4.131 4.336 2.353
-1.920 -1.690 1.907
Si Co K
1 1 1
Direct
0.400 0.400 0.600
0.931 0.931 0.069
0.668 0.668 0.332



Entry ii
KCoSi | Alexandria | PBE | optimized geometry; magnetic moment = 0.70 μB per formula unit; SG = F-43m, No. 216; calculated volume = 29.2 A^3/atom
1.0
4.985 0.000 0.000
2.492 4.317 0.000
2.492 1.439 4.070
K Co Si
1 1 1
Direct
0.750 0.750 0.750
0.500 0.500 0.500
0.000 0.000 0.000



Pick entry i: it beats the second-best structure by 1670 meV/atom.



Entry i
K2CoSi2 | Alexandria | PBE | optimized geometry; magnetic moment = 1.70 μB per formula unit; SG = I4/mmm, No. 139; calculated volume = 22.7 A^3/atom
1.0
3.974 0.000 0.000
0.000 3.974 0.000
1.987 1.987 7.186
K Co Si
2 1 2
Direct
0.750 0.250 0.500
0.250 0.750 0.500
0.000 0.000 0.000
0.423 0.423 0.154
0.577 0.577 0.846



Entry ii
K2CoSi2 | Alexandria | PBE | optimized geometry; magnetic moment = 1.70 μB per formula unit; SG = I4/mmm, No. 139; calculated volume = 26.3 A^3/atom
1.0
3.463 0.000 0.000
0.000 3.463 0.000
1.732 1.732 10.978
Si K Co
2 2 1
Direct
0.750 0.250 0.500
0.250 0.750 0.500
0.391 0.391 0.218
0.609 0.609 0.782
0.000 0.000 0.000



Pick entry ii: it beats the second-best structure by 228 meV/atom.



Entry i
K2CoSi2 | Alexandria | PBE | optimized geometry; magnetic moment = 2.42 μB per formula unit; SG = P4/mbm, No. 127; calculated volume = 28.2 A^3/atom
1.0
-2.532 -5.064 8.677
-1.456 -8.669 -5.484
2.522 -0.650 0.357
K Si Co
4 4 2
Direct
0.867 0.633 0.000
0.367 0.867 0.000
0.633 0.133 0.000
0.133 0.367 0.000
0.166 0.666 0.500
0.666 0.834 0.500
0.834 0.334 0.500
0.334 0.166 0.500
0.500 0.500 0.000
0.000 0.000 0.000



Entry ii
K2CoSi2 | Alexandria | PBE | optimized geometry; magnetic moment = 0.00 μB per formula unit; SG = P4/mbm, No. 127; calculated volume = 21.5 A^3/atom
1.0
-1.532 -3.993 -4.382
4.740 1.895 -3.383
3.331 -3.963 2.447
K Si Co
4 4 2
Direct
0.179 0.679 0.500
0.679 0.821 0.500
0.321 0.179 0.500
0.821 0.321 0.500
0.648 0.148 0.000
0.352 0.852 0.000
0.852 0.648 0.000
0.148 0.352 0.000
0.500 0.500 0.000
0.000 0.000 0.000



Pick entry ii: it beats the second-best structure by 893 meV/atom.



Entry i
KCoSi3 | Alexandria | PBE | optimized geometry; magnetic moment = 1.65 μB per formula unit; SG = Pm-3m, No. 221; calculated volume = 28.4 A^3/atom
1.0
-1.648 3.985 2.935
-3.526 1.225 -3.644
-3.473 -3.135 2.307
Si K Co
3 1 1
Direct
0.000 0.000 0.500
0.000 0.500 0.000
0.500 0.000 0.000
0.000 0.000 0.000
0.500 0.500 0.500



Entry ii
KCoSi3 | Alexandria | PBE | optimized geometry; magnetic moment = 0.00 μB per formula unit; SG = Pm-3m, No. 221; calculated volume = 18.6 A^3/atom
1.0
-2.471 -0.875 3.699
-1.693 -3.696 -2.006
3.403 -2.475 1.688
Si Co K
3 1 1
Direct
0.500 0.000 0.000
0.000 0.500 0.000
0.000 0.000 0.500
0.000 0.000 0.000
0.500 0.500 0.500



Pick entry ii: it beats the second-best structure by 2245 meV/atom.



Entry i
KTaCo2 | Alexandria | PBE | optimized geometry; magnetic moment = 0.14 μB per formula unit; SG = Pm, No. 6; calculated volume = 21.5 A^3/atom
1.0
3.848 0.000 0.000
0.000 3.190 0.192
0.000 1.147 7.088
Ta K Co
1 1 2
Direct
0.500 0.730 0.912
0.000 0.456 0.470
0.000 0.207 0.957
0.500 0.107 0.161



Entry ii
KTaCo2 | Alexandria | PBE | optimized geometry; magnetic moment = 0.90 μB per formula unit; SG = R-3m, No. 166; calculated volume = 18.9 A^3/atom
1.0
-2.087 3.885 -7.851
-4.944 3.722 -6.542
-3.035 6.129 -5.858
Co Ta K
2 1 1
Direct
0.480 0.480 0.480
0.020 0.020 0.020
0.750 0.750 0.750
0.250 0.250 0.250



Pick entry ii: it beats the second-best structure by 36 meV/atom.



Entry i
KCoTc2 | Alexandria | PBE | optimized geometry; magnetic moment = 1.18 μB per formula unit; SG = P2/m, No. 10; calculated volume = 19.2 A^3/atom
1.0
3.475 0.000 0.000
0.000 2.625 0.118
0.000 2.183 8.523
K Tc Co
1 2 1
Direct
0.500 0.750 0.750
0.000 0.899 0.098
0.000 0.601 0.402
0.500 0.250 0.250



Entry ii
KCoTc2 | Alexandria | PBE | optimized geometry; magnetic moment = 1.68 μB per formula unit; SG = Cm, No. 8; calculated volume = 20.6 A^3/atom
1.0
4.561 0.014 -0.041
3.775 2.559 -0.041
0.474 0.146 7.096
K Co Tc
1 1 2
Direct
0.245 0.245 0.258
0.481 0.481 0.605
0.760 0.760 0.746
0.014 0.014 0.891



Entry iii
KCoTc2 | Alexandria | PBE | optimized geometry; magnetic moment = 1.23 μB per formula unit; SG = F-43m, No. 216; calculated volume = 16.0 A^3/atom
1.0
4.494 0.000 0.000
2.247 3.892 0.000
2.247 1.297 3.669
Tc K Co
2 1 1
Direct
0.250 0.250 0.250
0.000 0.000 0.000
0.750 0.750 0.750
0.500 0.500 0.500



Pick entry i: it beats the second-best structure by 27 meV/atom.



Entry i
KCoTe | Alexandria | PBE | optimized geometry; magnetic moment = 0.00 μB per formula unit; SG = I4mm, No. 107; calculated volume = 25.5 A^3/atom
1.0
-5.737 -2.638 -1.924
-1.875 -5.743 -2.659
3.476 3.236 4.584
K Co Te
1 1 1
Direct
0.332 0.332 0.000
0.055 0.055 0.000
0.612 0.612 0.000



Entry ii
KCoTe | Alexandria | PBE | optimized geometry; magnetic moment = 1.23 μB per formula unit; SG = P4/nmm, No. 129; calculated volume = 30.6 A^3/atom
1.0
-3.965 -1.041 1.006
1.422 -2.254 3.274
-0.660 8.321 6.016
Co K Te
2 2 2
Direct
0.500 0.500 0.500
0.000 0.000 0.500
0.500 0.000 0.196
0.000 0.500 0.804
0.000 0.500 0.363
0.500 0.000 0.637



Entry iii
KCoTe | Alexandria | PBE | optimized geometry; magnetic moment = 2.00 μB per formula unit; SG = F-43m, No. 216; calculated volume = 25.9 A^3/atom
1.0
-2.567 3.458 -2.097
-4.716 0.293 0.785
-1.772 3.593 2.625
K Co Te
1 1 1
Direct
0.000 0.000 0.000
0.750 0.750 0.750
0.500 0.500 0.500



Entry iv
KCoTe | Alexandria | PBE | optimized geometry; magnetic moment = 1.75 μB per formula unit; SG = P3m1, No. 156; calculated volume = 29.2 A^3/atom
1.0
-2.522 2.859 -2.098
1.103 -3.747 -1.919
-4.344 -2.328 2.049
K Co Te
1 1 1
Direct
0.667 0.333 0.333
0.000 0.000 0.833
0.333 0.667 0.834



Pick entry ii: it beats the second-best structure by 92 meV/atom.



Entry i
K2TiCo | Alexandria | PBE | optimized geometry; magnetic moment = 1.26 μB per formula unit; SG = Fm-3m, No. 225; calculated volume = 32.0 A^3/atom
1.0
-5.079 -1.455 -2.027
-4.698 1.636 2.698
-3.361 3.930 -2.300
Ti K Co
1 2 1
Direct
0.000 0.000 0.000
0.250 0.250 0.250
0.750 0.750 0.750
0.500 0.500 0.500



Entry ii
K2TiCo | Alexandria | PBE | optimized geometry; magnetic moment = 0.00 μB per formula unit; SG = I-42d, No. 122; calculated volume = 42.3 A^3/atom
1.0
12.658 0.000 0.000
0.000 12.658 0.000
6.329 6.329 2.110
K Co Ti
4 2 2
Direct
0.954 0.625 0.250
0.875 0.046 0.750
0.796 0.125 0.250
0.375 0.204 0.750
0.000 0.000 0.000
0.750 0.250 0.500
0.500 0.500 0.000
0.250 0.750 0.500



Pick entry ii: it beats the second-best structure by 668 meV/atom.



Entry i
KTiCo3 | Alexandria | PBE | optimized geometry; magnetic moment = 2.00 μB per formula unit; SG = Pm-3m, No. 221; calculated volume = 16.7 A^3/atom
1.0
4.373 0.000 0.000
0.000 4.373 0.000
0.000 0.000 4.373
K Ti Co
1 1 3
Direct
0.000 0.000 0.000
0.500 0.500 0.500
0.500 0.000 0.000
0.000 0.500 0.000
0.000 0.000 0.500



Entry ii
KTiCo3 | Alexandria | PBE | optimized geometry; magnetic moment = 1.85 μB per formula unit; SG = Pm-3m, No. 221; calculated volume = 18.7 A^3/atom
1.0
-0.163 -2.448 3.821
3.917 -2.006 -1.118
2.291 3.256 2.184
Co K Ti
3 1 1
Direct
0.000 0.500 0.000
0.500 0.000 0.000
0.000 0.000 0.500
0.500 0.500 0.500
0.000 0.000 0.000



Pick entry ii: it beats the second-best structure by 1098 meV/atom.



Entry i
K2TlCo | Alexandria | PBE | optimized geometry; magnetic moment = 1.11 μB per formula unit; SG = Cm, No. 8; calculated volume = 40.0 A^3/atom
1.0
-1.346 3.231 -2.890
1.746 0.191 -4.185
-6.424 -4.321 -5.189
Co K Tl
1 2 1
Direct
0.209 0.209 0.375
0.959 0.959 0.103
0.790 0.790 0.646
0.542 0.542 0.375



Entry ii
K2TlCo | Alexandria | PBE | optimized geometry; magnetic moment = 1.62 μB per formula unit; SG = Cmmm, No. 65; calculated volume = 32.8 A^3/atom
1.0
-2.622 -3.073 6.330
5.222 -1.909 -1.749
1.583 0.722 3.944
K Tl Co
2 1 1
Direct
0.500 0.000 0.500
0.000 0.000 0.000
0.000 0.500 0.500
0.500 0.500 0.000



Pick entry i: it beats the second-best structure by 301 meV/atom.



Entry i
K2TlCo | Alexandria | PBE | optimized geometry; magnetic moment = 1.25 μB per formula unit; SG = Amm2, No. 38; calculated volume = 38.0 A^3/atom
1.0
4.708 0.000 0.000
0.000 5.278 0.088
0.000 2.536 6.158
Co K Tl
1 2 1
Direct
0.500 0.587 0.702
0.000 0.972 0.932
0.500 0.274 0.326
0.000 0.668 0.539



Entry ii
K2TlCo | Alexandria | PBE | optimized geometry; magnetic moment = 1.62 μB per formula unit; SG = I4/mmm, No. 139; calculated volume = 31.0 A^3/atom
1.0
-5.959 -0.633 -2.263
-0.604 -2.909 -5.675
3.007 -1.208 5.525
K Co Tl
2 1 1
Direct
0.500 0.500 0.000
0.000 0.000 0.000
0.750 0.250 0.500
0.250 0.750 0.500



Entry iii
K2TlCo | Alexandria | PBE | optimized geometry; magnetic moment = 1.81 μB per formula unit; SG = R-3m, No. 166; calculated volume = 31.8 A^3/atom
1.0
11.749 0.007 0.004
11.207 3.528 0.004
11.207 1.726 3.077
K Tl Co
2 1 1
Direct
0.008 0.008 0.008
0.492 0.492 0.492
0.250 0.250 0.250
0.750 0.750 0.750



Entry iv
K2TlCo | Alexandria | PBE | optimized geometry; magnetic moment = 1.90 μB per formula unit; SG = Pmmm, No. 47; calculated volume = 33.4 A^3/atom
1.0
4.091 0.000 0.000
0.000 4.913 0.000
0.000 0.000 6.638
K Co Tl
2 1 1
Direct
0.000 0.000 0.988
0.000 0.000 0.512
0.500 0.500 0.750
0.500 0.500 0.250



Pick entry i: it beats the second-best structure by 227 meV/atom.